# 1
# CuTcAu2 PBE relaxed
data_CuTcAu2
_chemical_formula_sum 'Cu3 Tc3 Au6'
_cell_length_a 2.8319
_cell_length_b 2.8319
_cell_length_c 27.4187
_cell_angle_alpha 90.00
_cell_angle_beta 90.00
_cell_angle_gamma 120.00
_symmetry_space_group_name_H-M 'R 3 m'
_symmetry_Int_Tables_number 160
_symmetry_space_group_name_Hall 'R 3 -2"'
loop_
_atom_site_label
_atom_site_type_symbol
_atom_site_fract_x
_atom_site_fract_y
_atom_site_fract_z
Cu1 Cu 0.0000 0.0000 0.0000
Tc1 Tc 0.0000 0.0000 0.2581
Au1 Au 0.0000 0.0000 0.5066
Au2 Au 0.0000 0.0000 0.7469
# - Crystal system: trigonal

# 2
# CuTc2Au PBE relaxed
data_CuTc2Au
_chemical_formula_sum 'Cu2 Tc4 Au2'
_cell_length_a 2.9069
_cell_length_b 4.5596
_cell_length_c 9.1829
_cell_angle_alpha 90.00
_cell_angle_beta 90.00
_cell_angle_gamma 90.00
_symmetry_space_group_name_H-M 'C m m 2'
_symmetry_Int_Tables_number 35
_symmetry_space_group_name_Hall 'C 2 -2'
loop_
_atom_site_label
_atom_site_type_symbol
_atom_site_fract_x
_atom_site_fract_y
_atom_site_fract_z
Cu1 Cu 0.0000 0.0000 0.0000
Tc1 Tc 0.0000 0.0000 0.5260
Tc2 Tc 0.0000 0.5000 0.7590
Au1 Au 0.0000 0.5000 0.2491
# - Crystal system: orthorhombic

# 3
# CuTcAu PBE relaxed
data_CuTcAu
_chemical_formula_sum 'Cu2 Tc2 Au2'
_cell_length_a 2.6751
_cell_length_b 3.9497
_cell_length_c 8.4938
_cell_angle_alpha 90.00
_cell_angle_beta 90.00
_cell_angle_gamma 90.00
_symmetry_space_group_name_H-M 'I m m 2'
_symmetry_Int_Tables_number 44
_symmetry_space_group_name_Hall 'I 2 -2'
loop_
_atom_site_label
_atom_site_type_symbol
_atom_site_fract_x
_atom_site_fract_y
_atom_site_fract_z
Cu1 Cu 0.0000 0.0000 0.0000
Tc1 Tc 0.0000 0.0000 0.6546
Au1 Au 0.0000 0.0000 0.3300
# - Crystal system: orthorhombic

# 4
# Cu2Tc2Au PBE relaxed
data_Cu2Tc2Au
_chemical_formula_sum 'Cu4 Tc4 Au2'
_cell_length_a 7.2841
_cell_length_b 7.2841
_cell_length_c 2.8423
_cell_angle_alpha 90.00
_cell_angle_beta 90.00
_cell_angle_gamma 90.00
_symmetry_space_group_name_H-M 'P 4/m b m'
_symmetry_Int_Tables_number 127
_symmetry_space_group_name_Hall '-P 4 2ab'
loop_
_atom_site_label
_atom_site_type_symbol
_atom_site_fract_x
_atom_site_fract_y
_atom_site_fract_z
Cu1 Cu 0.1802 0.3198 0.0000
Tc1 Tc 0.1113 0.6113 0.5000
Au1 Au 0.0000 0.0000 0.0000
# - Crystal system: tetragonal

# 5
# CuTc2Au PBE relaxed
data_CuTc2Au
_chemical_formula_sum 'Cu3 Tc6 Au3'
_cell_length_a 2.7468
_cell_length_b 2.7468
_cell_length_c 27.3576
_cell_angle_alpha 90.00
_cell_angle_beta 90.00
_cell_angle_gamma 120.00
_symmetry_space_group_name_H-M 'R -3 m'
_symmetry_Int_Tables_number 166
_symmetry_space_group_name_Hall '-R 3 2"'
loop_
_atom_site_label
_atom_site_type_symbol
_atom_site_fract_x
_atom_site_fract_y
_atom_site_fract_z
Cu1 Cu 0.0000 0.0000 0.0000
Tc1 Tc 0.0000 0.0000 0.2547
Au1 Au 0.0000 0.0000 0.5000
# - Crystal system: trigonal

# 6
# CuTcAu2 PBE relaxed
data_CuTcAu2
_chemical_formula_sum 'Cu1 Tc1 Au2'
_cell_length_a 2.7674
_cell_length_b 2.7674
_cell_length_c 8.1939
_cell_angle_alpha 90.00
_cell_angle_beta 90.00
_cell_angle_gamma 90.00
_symmetry_space_group_name_H-M 'P 4 m m'
_symmetry_Int_Tables_number 99
_symmetry_space_group_name_Hall 'P 4 -2'
loop_
_atom_site_label
_atom_site_type_symbol
_atom_site_fract_x
_atom_site_fract_y
_atom_site_fract_z
Cu1 Cu 0.0000 0.0000 0.0000
Tc1 Tc 0.5000 0.5000 0.2195
Au1 Au 0.0000 0.0000 0.4777
Au2 Au 0.5000 0.5000 0.7624
# - Crystal system: tetragonal

# 7
# CuTc2Au PBE relaxed
data_CuTc2Au
_chemical_formula_sum 'Cu4 Tc8 Au4'
_cell_length_a 3.6482
_cell_length_b 3.6482
_cell_length_c 19.3299
_cell_angle_alpha 90.00
_cell_angle_beta 90.00
_cell_angle_gamma 90.00
_symmetry_space_group_name_H-M 'I -4 2 d'
_symmetry_Int_Tables_number 122
_symmetry_space_group_name_Hall 'I -4 2bw'
loop_
_atom_site_label
_atom_site_type_symbol
_atom_site_fract_x
_atom_site_fract_y
_atom_site_fract_z
Cu1 Cu 0.0000 0.0000 0.0000
Tc1 Tc 0.2088 0.2500 0.1250
Au1 Au 0.0000 0.0000 0.5000
# - Crystal system: tetragonal

# 8
# CuTc2Au PBE relaxed
data_CuTc2Au
_chemical_formula_sum 'Cu4 Tc8 Au4'
_cell_length_a 6.2155
_cell_length_b 6.2155
_cell_length_c 6.2155
_cell_angle_alpha 90.00
_cell_angle_beta 90.00
_cell_angle_gamma 90.00
_symmetry_space_group_name_H-M 'F -4 3 m'
_symmetry_Int_Tables_number 216
_symmetry_space_group_name_Hall 'F -4 2 3'
loop_
_atom_site_label
_atom_site_type_symbol
_atom_site_fract_x
_atom_site_fract_y
_atom_site_fract_z
Cu1 Cu 0.0000 0.0000 0.0000
Tc1 Tc 0.0000 0.0000 0.5000
Tc2 Tc 0.2500 0.2500 0.7500
Au1 Au 0.2500 0.2500 0.2500
# - Crystal system: cubic

| no. | energy relative to the elements (meV per atom) |
| --- | --- |
| 1 | 258 |
| 2 | 273 |
| 3 | 408 |
| 4 | 451 |
| 5 | 423 |
| 6 | 209 |
| 7 | 572 |
| 8 | 440 |